LiCu14Ge, relaxed, DFT GGA-PBE; DOS(E_F) = 0.454 states/eV/atom; space group = Amm2, No. 38; crystal system = orthorhombic; ΔE_f = -0.01 eV/atom
1.0
8.424 0.000 0.000
0.000 2.599 4.447
0.000 -2.599 4.447
Li Cu Ge
1 14 1
Direct
0.000 0.000 0.000
0.000 0.001 0.500
0.000 0.500 0.001
0.250 0.332 0.332
0.253 0.330 0.836
0.253 0.836 0.330
0.255 0.831 0.831
0.500 0.165 0.165
0.500 0.166 0.664
0.500 0.663 0.663
0.500 0.664 0.166
0.745 0.831 0.831
0.747 0.330 0.836
0.747 0.836 0.330
0.750 0.332 0.332
0.000 0.504 0.504


Tb6Y19Tm4, relaxed, DFT GGA-PBE; DOS(E_F) = 1.523 states/eV/atom; space group = I23, No. 197; crystal system = cubic; ΔE_f = 0.38 eV/atom
1.0
-6.222 6.222 6.222
6.222 -6.222 6.222
6.222 6.222 -6.222
Tb Y Tm
6 19 4
Direct
0.125 0.625 0.500
0.375 0.500 0.875
0.500 0.125 0.625
0.500 0.875 0.375
0.625 0.500 0.125
0.875 0.375 0.500
0.000 0.000 0.000
0.000 0.259 0.259
0.000 0.741 0.741
0.017 0.799 0.342
0.201 0.217 0.543
0.217 0.543 0.201
0.259 0.000 0.259
0.259 0.259 0.000
0.326 0.783 0.983
0.342 0.017 0.799
0.457 0.674 0.658
0.543 0.201 0.217
0.658 0.457 0.674
0.674 0.658 0.457
0.741 0.000 0.741
0.741 0.741 0.000
0.783 0.983 0.326
0.799 0.342 0.017
0.983 0.326 0.783
0.000 0.000 0.642
0.000 0.642 0.000
0.358 0.358 0.358
0.642 0.000 0.000


ErScCl6, relaxed, DFT GGA-PBE; DOS(E_F) = 0.000 states/eV/atom; energy above the most stable polymorph in this dataset = 16 meV/atom; space group = R-3, No. 148; crystal system = trigonal; formation energy (no corrections) = -2.14 eV/atom
1.0
3.272 1.889 5.889
-3.272 1.889 5.889
0.000 -3.778 5.889
Er Sc Cl
1 1 6
Direct
0.000 0.000 0.000
0.500 0.500 0.500
0.114 0.400 0.742
0.258 0.886 0.600
0.400 0.742 0.114
0.600 0.258 0.886
0.742 0.114 0.400
0.886 0.600 0.258


Ca2CuGe4Au3, relaxed, DFT GGA-PBE; DOS(E_F) = 0.598 states/eV/atom; space group = P-4m2, No. 115; crystal system = tetragonal; ΔE_f = -0.42 eV/atom
1.0
4.318 0.000 0.000
0.000 4.318 0.000
0.000 0.000 11.035
Ca Cu Ge Au
2 1 4 3
Direct
0.000 0.500 0.235
0.500 0.000 0.765
0.500 0.500 0.000
0.000 0.000 0.500
0.000 0.500 0.873
0.500 0.000 0.127
0.500 0.500 0.500
0.000 0.000 0.000
0.000 0.500 0.644
0.500 0.000 0.356


BaLiPm2Hg4, relaxed, DFT GGA-PBE; DOS(E_F) = 0.724 states/eV/atom; space group = R-3m, No. 166; crystal system = trigonal; ΔE_f = -0.41 eV/atom
1.0
2.635 1.521 9.734
-2.635 1.521 9.734
0.000 -3.043 9.734
Ba Li Pm Hg
1 1 2 4
Direct
0.000 0.000 0.000
0.500 0.500 0.500
0.234 0.234 0.234
0.766 0.766 0.766
0.127 0.127 0.127
0.401 0.401 0.401
0.599 0.599 0.599
0.873 0.873 0.873


KMoP, relaxed, DFT GGA-PBE; DOS(E_F) = 0.544 states/eV/atom; energy above the most stable polymorph in this dataset = 757 meV/atom; space group = Fmm2, No. 42; crystal system = orthorhombic; ΔE_f = 0.40 eV/atom
1.0
0.000 2.435 7.176
1.795 0.000 7.176
1.795 2.435 0.000
K Mo P
1 1 1
Direct
0.000 0.000 0.000
0.713 0.713 0.287
0.320 0.320 0.680


La3Pr3Dy, relaxed, DFT GGA-PBE; DOS(E_F) = 1.775 states/eV/atom; energy above the most stable polymorph in this dataset = 0 meV/atom; space group = P6_3/m, No. 176; crystal system = hexagonal; ΔE_f = 0.03 eV/atom
1.0
9.930 0.000 0.000
-4.965 8.599 0.000
0.000 0.000 5.968
La Pr Dy
6 6 2
Direct
0.097 0.477 0.250
0.381 0.903 0.250
0.477 0.381 0.750
0.523 0.619 0.250
0.619 0.097 0.750
0.903 0.523 0.750
0.047 0.239 0.750
0.192 0.953 0.750
0.239 0.192 0.250
0.761 0.808 0.750
0.808 0.047 0.250
0.953 0.761 0.250
0.333 0.667 0.750
0.667 0.333 0.250


TlTcP2O, relaxed, DFT GGA-PBE; DOS(E_F) = 0.515 states/eV/atom; energy above the most stable polymorph in this dataset = 0 meV/atom; space group = P4/mmm, No. 123; crystal system = tetragonal; formation energy (no corrections) = -0.11 eV/atom
1.0
4.890 0.000 0.000
0.000 4.890 0.000
0.000 0.000 3.750
Tl Tc P O
1 1 2 1
Direct
0.000 0.000 0.000
0.500 0.500 0.500
0.000 0.500 0.500
0.500 0.000 0.500
0.500 0.500 0.000